SrVO3 after structural relaxation, computed with GGA+U.

Cell lengths 7.517, 7.517, 3.711 Å; angles 90.00, 90.00, 129.54 degrees
Atoms (fractional coordinates):
Sr1 0.162 0.838 0.250
Sr2 0.838 0.162 0.750
O1 0.130 0.449 0.250
O2 0.551 0.870 0.250
O3 0.449 0.130 0.750
O4 0.870 0.551 0.750
O5 0.000 0.000 0.000
O6 0.000 0.000 0.500
V1 0.417 0.583 0.250
V2 0.583 0.417 0.750

Calculated values
uncorrected energy: -62.81 eV/cell
mass density: 3.83 g/cm³
size of the total moment: 1.3 μB/cell
DOS at the Fermi energy: 0.260 states/eV/atom